Record 1
! PBE NaTl3Cl, relaxed; values from VASP
! **Formation energy (no corrections)**: 27 kJ/mol of formula units
! **Space-group type**: No. 221
! **DFT total energy**: -10.0 eV/cell
&SYSTEM
  ibrav = 0, nat = 5, ntyp = 3
/
ATOMIC_SPECIES
Na 22.99 Na.upf
Tl 204.38 Tl.upf
Cl 35.45 Cl.upf
ATOMIC_POSITIONS crystal
Na 0.0000 0.0000 0.0000
Tl 0.0000 0.0000 0.5000
Tl 0.0000 0.5000 0.0000
Tl 0.5000 0.0000 0.0000
Cl 0.5000 0.5000 0.5000
CELL_PARAMETERS angstrom
5.7711 0.0000 0.0000
0.0000 5.7711 0.0000
0.0000 0.0000 5.7711


Record 2
! PBE Pr2SmY2Ho, relaxed; values from VASP
! **Space-group type**: No. 58
! **DFT total energy**: -60.6 eV/cell
! **Energy of formation**: 1.49 eV/f.u.
&SYSTEM
  ibrav = 0, nat = 12, ntyp = 4
/
ATOMIC_SPECIES
Pr 140.91 Pr.upf
Sm 150.36 Sm.upf
Y 88.91 Y.upf
Ho 164.93 Ho.upf
ATOMIC_POSITIONS crystal
Pr 0.2396 0.1510 0.0000
Pr 0.2604 0.6510 0.5000
Pr 0.7396 0.3490 0.5000
Pr 0.7604 0.8490 0.0000
Sm 0.0000 0.0000 0.5000
Sm 0.5000 0.5000 0.0000
Y 0.2437 0.3233 0.5000
Y 0.2563 0.8233 0.0000
Y 0.7437 0.1767 0.0000
Y 0.7563 0.6767 0.5000
Ho 0.0000 0.5000 0.5000
Ho 0.5000 0.0000 0.0000
CELL_PARAMETERS angstrom
6.7423 0.0000 0.0000
0.0000 17.8008 0.0000
0.0000 0.0000 3.4155


Record 3
! PBE LaYCu3, relaxed; values from VASP
! **Space-group type**: No. 221
! **DFT total energy**: -20.4 eV/cell
! **Energy of formation**: 3.31 eV/f.u.
&SYSTEM
  ibrav = 0, nat = 5, ntyp = 3
/
ATOMIC_SPECIES
La 138.91 La.upf
Y 88.91 Y.upf
Cu 63.55 Cu.upf
ATOMIC_POSITIONS crystal
La 0.0000 0.0000 0.0000
Y 0.5000 0.5000 0.5000
Cu 0.0000 0.0000 0.5000
Cu 0.0000 0.5000 0.0000
Cu 0.5000 0.0000 0.0000
CELL_PARAMETERS angstrom
5.0654 0.0000 0.0000
0.0000 5.0654 0.0000
0.0000 0.0000 5.0654


Record 4
! PBE La4NdTe6, relaxed; values from VASP
! **Formation energy (no corrections)**: -1556 kJ/mol of formula units
! **Space-group type**: No. 167
! **DFT total energy**: -118.9 eV/cell
&SYSTEM
  ibrav = 0, nat = 22, ntyp = 3
/
ATOMIC_SPECIES
La 138.91 La.upf
Nd 144.24 Nd.upf
Te 127.60 Te.upf
ATOMIC_POSITIONS crystal
La 0.1417 0.7500 0.3583
La 0.2500 0.2500 0.2500
La 0.2500 0.6417 0.8583
La 0.3583 0.1417 0.7500
La 0.6417 0.8583 0.2500
La 0.7500 0.3583 0.1417
La 0.7500 0.7500 0.7500
La 0.8583 0.2500 0.6417
Nd 0.0000 0.0000 0.0000
Nd 0.5000 0.5000 0.5000
Te 0.0603 0.9153 0.6742
Te 0.0847 0.3258 0.9397
Te 0.1742 0.4153 0.5603
Te 0.3258 0.9397 0.0847
Te 0.4153 0.5603 0.1742
Te 0.4397 0.8258 0.5847
Te 0.5603 0.1742 0.4153
Te 0.5847 0.4397 0.8258
Te 0.6742 0.0603 0.9153
Te 0.8258 0.5847 0.4397
Te 0.9153 0.6742 0.0603
Te 0.9397 0.0847 0.3258
CELL_PARAMETERS angstrom
6.4444 3.7207 5.1214
-6.4444 3.7207 5.1214
0.0000 -7.4413 5.1214


| no. | N(E_F) (states/eV/cell) |
| --- | --- |
| 1 | 4.18 |
| 2 | 17.62 |
| 3 | 3.86 |
| 4 | 15.40 |